# K2HgBi2 PBE relaxed
# E above lowest polymorph	104.0	meV/atom
# V	39.502	A^3/atom
# calculated formation energy	-0.195	eV per atom
data_K2HgBi2
_symmetry_space_group_name_H-M 'P 4/m b m'
_symmetry_Int_Tables_number 127
_symmetry_space_group_name_Hall '-P 4 2ab'
_cell_length_a 10.455
_cell_length_b 10.455
_cell_length_c 3.614
_cell_angle_alpha 90.00
_cell_angle_beta 90.00
_cell_angle_gamma 90.00
loop_
_atom_site_label
_atom_site_type_symbol
_atom_site_fract_x
_atom_site_fract_y
_atom_site_fract_z
K1 K 0.192 0.308 0.000
Hg1 Hg 0.000 0.000 0.000
Bi1 Bi 0.101 0.601 0.500